w | Compound: SrCuAsPt
Source: OQMD
Functional: PBE
Structure: optimized geometry

Cell lengths 4.8392, 4.8392, 4.8392 Å; angles 60.00, 60.00, 60.00 degrees
With the nearest neighbours (Å) after each atom.
Element x y z (fractional)
Sr: 0.0000 0.0000 0.0000  4 As 2.96, 4 Pt 2.96
Cu: 0.5000 0.5000 0.5000  4 As 2.96, 4 Pt 2.96
As: 0.2500 0.2500 0.2500  4 Cu 2.96, 4 Sr 2.96
Pt: 0.7500 0.7500 0.7500  4 Cu 2.96, 4 Sr 2.96

Summary:
SG	F-43m (216)


x | Compound: SrCuAsPt
Source: OQMD
Functional: PBE
Structure: optimized geometry

Cell lengths 4.7580, 4.7580, 4.7580 Å; angles 60.00, 60.00, 60.00 degrees
With the nearest neighbours (Å) after each atom.
Element x y z (fractional)
Sr: 0.0000 0.0000 0.0000  4 As 2.91, 4 Cu 2.91
Cu: 0.2500 0.2500 0.2500  4 Pt 2.91, 4 Sr 2.91
As: 0.7500 0.7500 0.7500  4 Pt 2.91, 4 Sr 2.91
Pt: 0.5000 0.5000 0.5000  4 As 2.91, 4 Cu 2.91

Summary:
SG	F-43m (216)


y | Compound: SrCuAsPt
Source: OQMD
Functional: PBE
Structure: optimized geometry

Cell lengths 4.8271, 4.8271, 4.8271 Å; angles 60.00, 60.00, 60.00 degrees
With the nearest neighbours (Å) after each atom.
Element x y z (fractional)
Sr: 0.0000 0.0000 0.0000  4 Cu 2.96, 4 Pt 2.96
Cu: 0.2500 0.2500 0.2500  4 As 2.96, 4 Sr 2.96
As: 0.5000 0.5000 0.5000  4 Pt 2.96, 4 Cu 2.96
Pt: 0.7500 0.7500 0.7500  4 As 2.96, 4 Sr 2.96

Summary:
SG	F-43m (216)


Which one sits at the top of the stability order? x does.


w | Compound: CuReSbAs
Source: OQMD
Functional: PBE
Structure: optimized geometry

Cell lengths 4.5544, 4.5544, 4.5544 Å; angles 60.00, 60.00, 60.00 degrees
With the nearest neighbours (Å) after each atom.
Element x y z (fractional)
Cu: 0.0000 0.0000 0.0000  4 Sb 2.79, 4 As 2.79
Re: 0.5000 0.5000 0.5000  4 Sb 2.79, 4 As 2.79
Sb: 0.7500 0.7500 0.7500  4 Re 2.79, 4 Cu 2.79
As: 0.2500 0.2500 0.2500  4 Re 2.79, 4 Cu 2.79

Summary:
SG	F-43m (216)


x | Compound: CuReSbAs
Source: OQMD
Functional: PBE
Structure: optimized geometry

Cell lengths 4.5798, 4.5798, 4.5798 Å; angles 60.00, 60.00, 60.00 degrees
With the nearest neighbours (Å) after each atom.
Element x y z (fractional)
Cu: 0.0000 0.0000 0.0000  4 Re 2.80, 4 Sb 2.80
Re: 0.2500 0.2500 0.2500  4 As 2.80, 4 Cu 2.80
Sb: 0.7500 0.7500 0.7500  4 As 2.80, 4 Cu 2.80
As: 0.5000 0.5000 0.5000  4 Sb 2.80, 4 Re 2.80

Summary:
SG	F-43m (216)


Which one sits at the top of the stability order? w does.


w | Compound: YCuReAs
Source: OQMD
Functional: PBE
Structure: optimized geometry

Cell lengths 4.6705, 4.6705, 4.6705 Å; angles 60.00, 60.00, 60.00 degrees
With the nearest neighbours (Å) after each atom.
Element x y z (fractional)
Y: 0.0000 0.0000 0.0000  4 As 2.86, 4 Re 2.86
Cu: 0.5000 0.5000 0.5000  4 Re 2.86, 4 As 2.86
Re: 0.7500 0.7500 0.7500  4 Cu 2.86, 4 Y 2.86
As: 0.2500 0.2500 0.2500  4 Cu 2.86, 4 Y 2.86

Summary:
SG	F-43m (216)


x | Compound: YCuReAs
Source: OQMD
Functional: PBE
Structure: optimized geometry

Cell lengths 4.5988, 4.5988, 4.5988 Å; angles 60.00, 60.00, 60.00 degrees
With the nearest neighbours (Å) after each atom.
Element x y z (fractional)
Y: 0.0000 0.0000 0.0000  4 Cu 2.82, 4 Re 2.82
Cu: 0.7500 0.7500 0.7500  4 Y 2.82, 4 As 2.82
Re: 0.2500 0.2500 0.2500  4 As 2.82, 4 Y 2.82
As: 0.5000 0.5000 0.5000  4 Cu 2.82, 4 Re 2.82

Summary:
SG	F-43m (216)


Which one sits at the top of the stability order? x does.


w | Compound: ZnCuReAs
Source: OQMD
Functional: PBE
Structure: optimized geometry

Cell lengths 4.3894, 4.3894, 4.3894 Å; angles 60.00, 60.00, 60.00 degrees
With the nearest neighbours (Å) after each atom.
Element x y z (fractional)
Zn: 0.0000 0.0000 0.0000  4 As 2.69, 4 Re 2.69
Cu: 0.5000 0.5000 0.5000  4 Re 2.69, 4 As 2.69
Re: 0.7500 0.7500 0.7500  4 Cu 2.69, 4 Zn 2.69
As: 0.2500 0.2500 0.2500  4 Cu 2.69, 4 Zn 2.69

Summary:
SG	F-43m (216)


x | Compound: ZnCuReAs
Source: OQMD
Functional: PBE
Structure: optimized geometry

Cell lengths 4.3259, 4.3259, 4.3259 Å; angles 60.00, 60.00, 60.00 degrees
With the nearest neighbours (Å) after each atom.
Element x y z (fractional)
Zn: 0.0000 0.0000 0.0000  4 Re 2.65, 4 Cu 2.65
Cu: 0.7500 0.7500 0.7500  4 As 2.65, 4 Zn 2.65
Re: 0.2500 0.2500 0.2500  4 As 2.65, 4 Zn 2.65
As: 0.5000 0.5000 0.5000  4 Re 2.65, 4 Cu 2.65

Summary:
SG	F-43m (216)


Which one sits at the top of the stability order? x does.


w | Compound: TbCuSbAs
Source: OQMD
Functional: PBE
Structure: optimized geometry

Cell lengths 4.1322, 4.1322, 9.8347 Å; angles 90.00, 90.00, 90.00 degrees
With the nearest neighbours (Å) after each atom.
Element x y z (fractional)
Tb: 0.2500 0.2500 0.2418  4 As 3.05, 4 Cu 3.15, 4 Sb 3.27
Tb: 0.7500 0.7500 0.7582  4 As 3.05, 4 Cu 3.15, 4 Sb 3.27
Cu: 0.2500 0.7500 0.0000  4 As 2.56
Cu: 0.7500 0.2500 0.0000  4 As 2.56
Sb: 0.2500 0.7500 0.5000  4 Sb 2.92
Sb: 0.7500 0.2500 0.5000  4 Sb 2.92
As: 0.2500 0.2500 0.8464  4 Cu 2.56
As: 0.7500 0.7500 0.1536  4 Cu 2.56

Summary:
SG	P4/nmm (129)


x | Compound: TbCuSbAs
Source: OQMD
Functional: PBE
Structure: optimized geometry

Cell lengths 4.1268, 4.1268, 9.9013 Å; angles 90.00, 90.00, 90.00 degrees
With the nearest neighbours (Å) after each atom.
Element x y z (fractional)
Tb: 0.2500 0.2500 0.2269  4 As 3.05, 4 Sb 3.10, 4 Cu 3.40
Tb: 0.7500 0.7500 0.7731  4 As 3.05, 4 Sb 3.10, 4 Cu 3.40
Cu: 0.2500 0.7500 0.5000  4 Sb 2.64, 4 Cu 2.92
Cu: 0.7500 0.2500 0.5000  4 Sb 2.64, 4 Cu 2.92
Sb: 0.2500 0.2500 0.6669  4 Cu 2.64
Sb: 0.7500 0.7500 0.3331  4 Cu 2.64
As: 0.2500 0.7500 0.0000  4 As 2.92, 4 Tb 3.05
As: 0.7500 0.2500 0.0000  4 As 2.92, 4 Tb 3.05

Summary:
SG	P4/nmm (129)


Which one sits at the top of the stability order? w does.


w | Compound: ZnCuTcAs
Source: OQMD
Functional: PBE
Structure: optimized geometry

Cell lengths 4.3949, 4.3949, 4.3949 Å; angles 60.00, 60.00, 60.00 degrees
With the nearest neighbours (Å) after each atom.
Element x y z (fractional)
Zn: 0.0000 0.0000 0.0000  4 Tc 2.69, 4 As 2.69
Cu: 0.5000 0.5000 0.5000  4 As 2.69, 4 Tc 2.69
Tc: 0.7500 0.7500 0.7500  4 Cu 2.69, 4 Zn 2.69
As: 0.2500 0.2500 0.2500  4 Cu 2.69, 4 Zn 2.69

Summary:
SG	F-43m (216)


x | Compound: ZnCuTcAs
Source: OQMD
Functional: PBE
Structure: optimized geometry

Cell lengths 4.3137, 4.3137, 4.3137 Å; angles 60.00, 60.00, 60.00 degrees
With the nearest neighbours (Å) after each atom.
Element x y z (fractional)
Zn: 0.0000 0.0000 0.0000  4 Cu 2.64, 4 Tc 2.64
Cu: 0.7500 0.7500 0.7500  4 As 2.64, 4 Zn 2.64
Tc: 0.2500 0.2500 0.2500  4 As 2.64, 4 Zn 2.64
As: 0.5000 0.5000 0.5000  4 Cu 2.64, 4 Tc 2.64

Summary:
SG	F-43m (216)


Which one sits at the top of the stability order? x does.